# 1
Compound: Ba2IrO3
Source: the Alexandria database
Functional: PBE-GGA
Structure: optimized geometry

a b c (Å): 5.859 12.067 12.569
angles (deg): 90.00 95.30 90.00
Space group C2/c (No. 15)
Unique sites:
Ba 0.224 0.104 0.425 [8 per cell]
Ba 0.227 0.197 0.853 [8 per cell]
Ir 0.156 0.493 0.318 [8 per cell]
O 0.000 0.019 0.750 [4 per cell]
O 0.000 0.362 0.750 [4 per cell]
O 0.225 0.330 0.367 [8 per cell]
O 0.238 0.086 0.044 [8 per cell]

Formation energy (no corrections) (eV/atom): -1.674
Crystal system: monoclinic

# 2
Compound: Au7Cl6
Source: the Alexandria database
Functional: PBE-GGA
Structure: optimized geometry

a b c (Å): 6.1167 6.1167 28.7225
angles (deg): 90.00 90.00 120.00
Space group R-3m (No. 166, hexagonal axes)
Unique sites:
Au 0.0000 0.0000 0.0000 [3 per cell]
Au 0.0086 0.5043 0.5866 [18 per cell]
Cl 0.0000 0.0000 0.1451 [6 per cell]
Cl 0.0000 0.0000 0.3120 [6 per cell]
Cl 0.0000 0.0000 0.4279 [6 per cell]

Formation energy (no corrections) (eV/atom): 0.119
Crystal system: trigonal